Computed, not measured: a geometry-optimized NdGdPuMg structure at the PBE-GGA level of DFT.

Unit cell a=5.521 b=5.521 c=5.521 alpha=60.00 beta=60.00 gamma=60.00
Each line ends with the local moment (μB).
Positions (direct):
Gd 0.500 0.500 0.500  -6.94
Pu 0.750 0.750 0.750  5.53
Mg 0.250 0.250 0.250  -0.01
Nd 0.000 0.000 0.000  0.13

Output
**Fermi-level density of states**: 3.8496 states/eV/atom
**DFT formation energy**: 0.6 eV/f.u.

Computed, not measured: a geometry-optimized NdGdMgRh structure at the PBE-GGA level of DFT.

Unit cell a=5.161 b=5.161 c=5.161 alpha=60.00 beta=60.00 gamma=60.00
Each line ends with the local moment (μB).
Positions (direct):
Rh 0.250 0.250 0.250  -0.06
Mg 0.750 0.750 0.750  0.00
Gd 0.500 0.500 0.500  7.01
Nd 0.000 0.000 0.000  -0.01

Output
**Fermi-level density of states**: 0.6075 states/eV/atom
**DFT formation energy**: -1.3 eV/f.u.

Computed, not measured: a geometry-optimized NdSmGdMg structure at the PBE-GGA level of DFT.

Unit cell a=5.606 b=5.606 c=5.606 alpha=60.00 beta=60.00 gamma=60.00
Each line ends with the local moment (μB).
Positions (direct):
Nd 0.000 0.000 0.000  0.05
Mg 0.250 0.250 0.250  -0.01
Sm 0.500 0.500 0.500  0.06
Gd 0.750 0.750 0.750  7.21

Output
**Fermi-level density of states**: 1.4942 states/eV/atom
**DFT formation energy**: 0.1 eV/f.u.